No. 1
Density functional theory data (PBE) for a geometry-optimized Ti2AlTe6 structure.

a = 6.6268 Å, b = 6.6268 Å, c = 11.9125 Å
α = 90.00°, β = 90.00°, γ = 90.00°
Atoms (fractional coordinates):
Al: 0.0000 0.0000 0.5000
Te: 0.2052 0.7948 0.0000
Te: 0.7948 0.2052 0.0000
Te: 0.7052 0.7052 0.5000
Ti: 0.5000 0.5000 0.3424
Te: 0.1988 0.8012 0.3274
Te: 0.6988 0.6988 0.8274
Ti: 0.5000 0.5000 0.6576
Te: 0.6988 0.6988 0.1726
Ti: 0.0000 0.0000 0.1576
Te: 0.8012 0.1988 0.3274
Al: 0.5000 0.5000 0.0000
Ti: 0.0000 0.0000 0.8424
Te: 0.3012 0.3012 0.1726
Te: 0.8012 0.1988 0.6726
Te: 0.3012 0.3012 0.8274
Te: 0.2948 0.2948 0.5000
Te: 0.1988 0.8012 0.6726

VASP energy, hartree per atom: -0.17228
Spin magnetization, μB/cell: 0.000
SG: P4_2/mnm, No. 136
DOS at the Fermi energy, states/eV/atom: 0.61



No. 2
Density functional theory data (PBE) for a geometry-optimized LaMoSe2Br structure.

a = 5.0636 Å, b = 5.0636 Å, c = 5.0006 Å
α = 90.00°, β = 90.00°, γ = 90.00°
Last column: magnetic moment on the atom in μB.
Atoms (fractional coordinates):
La: 0.5000 0.5000 0.5000  0.26
Se: 0.0000 0.5000 0.0000  0.01
Mo: 0.0000 0.0000 0.0000  1.81
Se: 0.5000 0.0000 0.0000  0.01
Br: 0.0000 0.0000 0.5000  0.04

VASP energy, hartree per atom: -0.20131
Spin magnetization, μB/cell: 2.580
SG: P4/mmm, No. 123
DOS at the Fermi energy, states/eV/atom: 0.47



No. 3
Density functional theory data (PBE) for a geometry-optimized Nd2Sm8Y structure.

a = 5.1395 Å, b = 8.1314 Å, c = 9.6064 Å
α = 104.72°, β = 105.52°, γ = 90.00°
Atoms (fractional coordinates):
Nd: 0.2270 0.6369 0.4540
Sm: 0.3185 0.0910 0.6371
Sm: 0.4098 0.5465 0.8196
Sm: 0.5902 0.4535 0.1804
Sm: 0.9548 0.2723 0.9096
Sm: 0.8642 0.8199 0.7283
Nd: 0.7730 0.3631 0.5460
Sm: 0.0452 0.7277 0.0904
Sm: 0.1358 0.1801 0.2717
Y: 0.5000 0.0000 0.0000
Sm: 0.6815 0.9090 0.3629

Formation energy from the elements, eV per atom: 0.01
Spin magnetization, μB/cell: 0.000
SG: C2/m, No. 12
DOS at the Fermi energy, states/eV/atom: 1.50



No. 4
Density functional theory data (PBE) for a geometry-optimized Ni2AsW structure.

a = 3.8318 Å, b = 2.7531 Å, c = 5.2547 Å
α = 74.69°, β = 90.00°, γ = 90.00°
Atoms (fractional coordinates):
Ni: 0.0000 0.8108 0.0048
W: 0.0000 0.5649 0.4962
As: 0.5000 0.9326 0.7547
Ni: 0.5000 0.1917 0.2443

Formation energy from the elements, eV per atom: 0.08
Spin magnetization, μB/cell: 0.000
SG: Pm, No. 6
DOS at the Fermi energy, states/eV/atom: 0.50



No. 5
Density functional theory data (PBE) for a geometry-optimized Pm4InOs structure.

a = 6.2561 Å, b = 9.1395 Å, c = 8.1186 Å
α = 114.66°, β = 99.94°, γ = 112.21°
Atoms (fractional coordinates):
Pm: 0.3902 0.9407 0.6616
Os: 0.7502 0.0002 0.0004
In: 0.6264 0.3764 0.7529
Pm: 0.2286 0.2792 0.3384
Pm: 0.7392 0.3540 0.1497
Pm: 0.7714 0.7208 0.6616
In: 0.3736 0.6236 0.2471
Pm: 0.6098 0.0593 0.3384
Pm: 0.2608 0.6460 0.8503
Os: 0.2498 0.9998 0.9996
Pm: 0.9105 0.7958 0.1497
Pm: 0.0895 0.2042 0.8503

Formation energy from the elements, eV per atom: -0.26
Spin magnetization, μB/cell: 0.000
SG: C2/c, No. 15
DOS at the Fermi energy, states/eV/atom: 1.09



No. 6
Density functional theory data (PBE) for a geometry-optimized SrPr15Y4 structure.

a = 5.2464 Å, b = 5.2464 Å, c = 26.1533 Å
α = 90.00°, β = 90.00°, γ = 90.00°
Atoms (fractional coordinates):
Pr: 0.5000 0.5000 0.2040
Pr: 0.5000 0.0000 0.5000
Pr: 0.5000 0.0000 0.6970
Sr: 0.0000 0.0000 0.0000
Pr: 0.5000 0.0000 0.1066
Pr: 0.0000 0.5000 0.8934
Pr: 0.5000 0.0000 0.8934
Pr: 0.0000 0.5000 0.3030
Y: 0.0000 0.0000 0.4015
Pr: 0.0000 0.5000 0.6970
Pr: 0.5000 0.5000 0.0000
Y: 0.0000 0.0000 0.2036
Pr: 0.5000 0.5000 0.5989
Pr: 0.5000 0.5000 0.4011
Pr: 0.0000 0.5000 0.5000
Pr: 0.5000 0.0000 0.3030
Pr: 0.0000 0.5000 0.1066
Pr: 0.5000 0.5000 0.7960
Y: 0.0000 0.0000 0.7964
Y: 0.0000 0.0000 0.5985

Formation energy from the elements, eV per atom: 0.03
Spin magnetization, μB/cell: 0.000
SG: P4/mmm, No. 123
DOS at the Fermi energy, states/eV/atom: 1.53



No. 7
Density functional theory data (PBE) for a geometry-optimized HBr structure.

a = 7.8232 Å, b = 7.8232 Å, c = 3.2444 Å
α = 90.00°, β = 90.00°, γ = 90.00°
Atoms (fractional coordinates):
H: 0.2496 0.2496 0.5000
H: 0.2504 0.7496 0.0000
Br: 0.6983 0.6983 0.0000
Br: 0.8017 0.1983 0.5000
H: 0.7504 0.7504 0.5000
Br: 0.1983 0.8017 0.5000
H: 0.7496 0.2504 0.0000
Br: 0.3017 0.3017 0.0000

VASP energy, hartree per atom: -0.09369
Spin magnetization, μB/cell: 0.000
SG: P4_2/mnm, No. 136
DOS at the Fermi energy, states/eV/atom: 0.00



No. 8
Density functional theory data (PBE) for a geometry-optimized Sc2ZnPb2 structure.

a = 4.2564 Å, b = 4.2564 Å, c = 8.1065 Å
α = 74.78°, β = 74.78°, γ = 90.00°
Last column: magnetic moment on the atom in μB.
Atoms (fractional coordinates):
Sc: 0.4030 0.4030 0.1941  0.23
Sc: 0.5970 0.5970 0.8059  0.23
Pb: 0.7500 0.2500 0.5000  0.01
Pb: 0.2500 0.7500 0.5000  0.01
Zn: 0.0000 0.0000 0.0000  0.01

Formation energy from the elements, eV per atom: 0.19
Spin magnetization, μB/cell: 0.694
SG: I4/mmm, No. 139
DOS at the Fermi energy, states/eV/atom: 0.95



No. 9
Density functional theory data (PBE) for a geometry-optimized InIrBr2 structure.

a = 6.0614 Å, b = 6.0614 Å, c = 8.4205 Å
α = 68.90°, β = 68.90°, γ = 90.00°
Atoms (fractional coordinates):
In: 0.2500 0.7500 0.5000
Ir: 0.7500 0.2500 0.5000
Br: 0.0129 0.6250 0.2500
Ir: 0.0000 0.0000 0.0000
Br: 0.8750 0.9871 0.7500
In: 0.5000 0.5000 0.0000
Br: 0.7371 0.1250 0.2500
Br: 0.3750 0.2629 0.7500

VASP energy, hartree per atom: -0.12195
Spin magnetization, μB/cell: 0.000
SG: I-42d, No. 122
DOS at the Fermi energy, states/eV/atom: 0.39



No. 10
Density functional theory data (PBE) for a geometry-optimized ScAg2Pd8 structure.

a = 4.0170 Å, b = 6.3448 Å, c = 7.4787 Å
α = 104.89°, β = 105.58°, γ = 90.00°
Atoms (fractional coordinates):
Ag: 0.2270 0.6379 0.4539
Pd: 0.1339 0.1764 0.2678
Pd: 0.9553 0.2736 0.9106
Pd: 0.4115 0.5491 0.8230
Pd: 0.8661 0.8236 0.7322
Ag: 0.7730 0.3621 0.5461
Sc: 0.5000 0.0000 0.0000
Pd: 0.5885 0.4509 0.1770
Pd: 0.6802 0.9087 0.3604
Pd: 0.0447 0.7264 0.0894
Pd: 0.3198 0.0913 0.6396

Formation energy from the elements, eV per atom: -0.33
Spin magnetization, μB/cell: 0.000
SG: C2/m, No. 12
DOS at the Fermi energy, states/eV/atom: 0.98



No. 11
Density functional theory data (PBE) for a geometry-optimized Pr12Sm2Th structure.

a = 6.6500 Å, b = 6.6500 Å, c = 25.6601 Å
α = 90.00°, β = 90.00°, γ = 90.00°
Atoms (fractional coordinates):
Pr: 0.1680 0.6680 0.5628
Pr: 0.6680 0.1680 0.4372
Pr: 0.5000 0.5000 0.2131
Pr: 0.0000 0.0000 0.3364
Pr: 0.0000 0.0000 0.6636
Sm: 0.0000 0.5000 0.7317
Th: 0.0000 0.5000 0.0000
Pr: 0.1896 0.6896 0.8896
Pr: 0.8104 0.6896 0.1104
Pr: 0.6680 0.8320 0.5628
Pr: 0.1896 0.3104 0.1104
Pr: 0.6896 0.8104 0.8896
Pr: 0.3104 0.1896 0.8896
Pr: 0.1680 0.3320 0.4372
Th: 0.5000 0.0000 0.0000
Pr: 0.8320 0.3320 0.5628
Sm: 0.5000 0.0000 0.7317
Pr: 0.5000 0.5000 0.7869
Pr: 0.8104 0.3104 0.8896
Pr: 0.5000 0.5000 0.3364
Pr: 0.8320 0.6680 0.4372
Pr: 0.3104 0.8104 0.1104
Pr: 0.0000 0.0000 0.7869
Pr: 0.5000 0.5000 0.6636
Pr: 0.3320 0.1680 0.5628
Pr: 0.6896 0.1896 0.1104
Pr: 0.0000 0.0000 0.2131
Pr: 0.3320 0.8320 0.4372
Sm: 0.5000 0.0000 0.2683
Sm: 0.0000 0.5000 0.2683

Formation energy from the elements, eV per atom: 0.33
Spin magnetization, μB/cell: 0.000
SG: P4/nbm, No. 125
DOS at the Fermi energy, states/eV/atom: 1.34



No. 12
Density functional theory data (PBE) for a geometry-optimized CaAl2SiAu5 structure.

a = 4.7345 Å, b = 5.9114 Å, c = 7.7560 Å
α = 112.40°, β = 107.77°, γ = 90.00°
Atoms (fractional coordinates):
Al: 0.1910 0.1910 0.3821
Au: 0.6553 0.4093 0.3107
Si: 0.5000 0.0000 0.0000
Au: 0.3447 0.5907 0.6893
Al: 0.8090 0.8090 0.6179
Au: 0.0000 0.0000 0.0000
Ca: 0.0000 0.5000 0.0000
Au: 0.3447 0.0987 0.6893
Au: 0.6553 0.9013 0.3107

VASP energy, hartree per atom: -0.13848
Spin magnetization, μB/cell: 0.000
SG: Immm, No. 71
DOS at the Fermi energy, states/eV/atom: 0.34